## LaZnIn (PBE-GGA)

Data for a relaxed LaZnIn crystal.

```
LaZnIn
1.0
-2.393 4.221 3.862
2.393 -4.221 3.862
2.393 4.221 -3.862
La Zn In
2 2 2
direct
0.000 0.000 0.000 La
0.491 0.491 0.000 La
0.040 0.702 0.338 Zn
0.365 0.702 0.662 Zn
0.596 0.270 0.326 In
0.944 0.270 0.674 In
```

## Properties
Space group   Imm2, No. 44
Final energy   -20.61 eV for the cell shown
Volume   26.00 Å³ per atom
Total magnetic moment   0.004 μB per atom